Y3B3O7 after structural relaxation, computed with PBE.

Cell: 25.188 3.780 7.084 Å, 90.00 90.00 90.00°
Space group Amm2 (No. 38)
Symmetry-distinct sites (fractional):
Y: 0.082 0.000 0.000 [4 per cell]
Y: 0.246 0.000 0.005 [4 per cell]
Y: 0.418 0.000 0.005 [4 per cell]
B: 0.000 0.000 0.238 [2 per cell]
B: 0.164 0.000 0.762 [4 per cell]
B: 0.332 0.000 0.372 [4 per cell]
B: 0.500 0.000 0.764 [2 per cell]
O: 0.048 0.000 0.335 [4 per cell]
O: 0.116 0.000 0.663 [4 per cell]
O: 0.212 0.000 0.666 [4 per cell]
O: 0.280 0.000 0.334 [4 per cell]
O: 0.332 0.000 0.987 [4 per cell]
O: 0.384 0.000 0.334 [4 per cell]
O: 0.452 0.000 0.665 [4 per cell]

Values from the calculation:
Calculated total energy in eV/cell: -426.023
Energy relative to the elements, uncorrected in eV/atom: -2.49